#one
SrTe2Mo: relaxed, PBE-GGA.

a b c (Å): 5.378 5.378 3.765
angles (deg): 90.00 90.00 90.00
Space group P4/mmm (No. 123)
One atom of each set of equivalent atoms:
Sr 0.000 0.000 0.000
Te 0.000 0.500 0.500
Mo 0.500 0.500 0.000

## Properties
The size of the total moment comes out at 3.43 μB per formula unit. The density of states at the Fermi level comes out at 2.0 states/eV per cell.

=====

#two
SrTe2Mo: relaxed, PBE-GGA.

a b c (Å): 4.3450 4.3450 20.7689
angles (deg): 90.00 90.00 120.00
Space group R-3m (No. 166, hexagonal axes)
One atom of each set of equivalent atoms:
Sr 0.0000 0.0000 0.0000
Te 0.0000 0.0000 0.2326
Mo 0.0000 0.0000 0.5000

## Properties
The size of the total moment comes out at 2.00 μB per formula unit. The density of states at the Fermi level comes out at 3.9 states/eV per cell.

=====

#three
SrTe2Mo: relaxed, PBE-GGA.

a b c (Å): 7.287 7.287 7.287
angles (deg): 90.00 90.00 90.00
Space group Fm-3m (No. 225)
One atom of each set of equivalent atoms:
Sr 0.000 0.000 0.000
Te 0.250 0.250 0.250
Mo 0.000 0.000 0.500

## Properties
The size of the total moment comes out at 0.00 μB per formula unit. The density of states at the Fermi level comes out at 2.0 states/eV per cell.

=====

#two is the most stable structure; the next one sits 300 meV/atom above it.

=====

#one
SrTi2Mo: relaxed, PBE-GGA.

a b c (Å): 6.845 6.845 6.845
angles (deg): 90.00 90.00 90.00
Space group Fm-3m (No. 225)
One atom of each set of equivalent atoms:
Sr 0.000 0.000 0.000
Ti 0.250 0.250 0.250
Mo 0.000 0.000 0.500

## Properties
The size of the total moment comes out at 0.00 μB per formula unit. The density of states at the Fermi level comes out at 26.8 states/eV per cell.

=====

#two
SrTi2Mo: relaxed, PBE-GGA.

a b c (Å): 5.216 5.216 16.761
angles (deg): 90.00 90.00 90.00
Space group I4_1/amd (No. 141, origin choice 2)
One atom of each set of equivalent atoms:
Sr 0.000 0.250 0.375
Ti 0.000 0.000 0.000
Mo 0.000 0.250 0.875

## Properties
The size of the total moment comes out at 0.00 μB per formula unit. The density of states at the Fermi level comes out at 19.4 states/eV per cell.

=====

#one is the most stable structure; the next one sits 367 meV/atom above it.

=====

#one
SrTiMo2: relaxed, PBE-GGA.

a b c (Å): 4.910 4.910 17.941
angles (deg): 90.00 90.00 90.00
Space group I4_1/amd (No. 141, origin choice 2)
One atom of each set of equivalent atoms:
Sr 0.000 0.250 0.375
Ti 0.000 0.250 0.875
Mo 0.000 0.000 0.000

## Properties
The size of the total moment comes out at 0.00 μB per formula unit. The density of states at the Fermi level comes out at 32.9 states/eV per cell.

=====

#two
SrTiMo2: relaxed, PBE-GGA.

a b c (Å): 6.750 6.750 6.750
angles (deg): 90.00 90.00 90.00
Space group Fm-3m (No. 225)
One atom of each set of equivalent atoms:
Sr 0.000 0.000 0.000
Ti 0.000 0.000 0.500
Mo 0.250 0.250 0.250

## Properties
The size of the total moment comes out at 0.00 μB per formula unit. The density of states at the Fermi level comes out at 31.8 states/eV per cell.

=====

#two is the most stable structure; the next one sits 122 meV/atom above it.

=====

#one
Sr2TlMo: relaxed, PBE-GGA.

a b c (Å): 3.280 3.280 10.440
angles (deg): 90.00 90.00 90.00
Space group P4/mmm (No. 123)
One atom of each set of equivalent atoms:
Sr 0.000 0.000 0.234
Tl 0.500 0.500 0.500
Mo 0.500 0.500 0.000

## Properties
The size of the total moment comes out at 0.00 μB per formula unit. The density of states at the Fermi level comes out at 4.0 states/eV per cell.

=====

#two
Sr2TlMo: relaxed, PBE-GGA.

a b c (Å): 10.657 3.736 6.701
angles (deg): 90.00 100.87 90.00
Space group C2/m (No. 12)
One atom of each set of equivalent atoms:
Sr 0.247 0.000 0.241
Tl 0.000 0.000 0.500
Mo 0.000 0.500 0.000

## Properties
The size of the total moment comes out at 3.32 μB per formula unit. The density of states at the Fermi level comes out at 7.3 states/eV per cell.

=====

#three
Sr2TlMo: relaxed, PBE-GGA.

a b c (Å): 4.000 5.511 11.422
angles (deg): 90.00 90.00 90.00
Space group Imm2 (No. 44)
One atom of each set of equivalent atoms:
Sr 0.000 0.000 0.000
Sr 0.000 0.500 0.209
Tl 0.000 0.500 0.764
Mo 0.000 0.000 0.439

## Properties
The size of the total moment comes out at 2.31 μB per formula unit. The density of states at the Fermi level comes out at 7.4 states/eV per cell.

=====

#three is the most stable structure; the next one sits 86 meV/atom above it.

=====

#one
SrVMo3: relaxed, PBE-GGA.

a b c (Å): 4.752 4.752 4.752
angles (deg): 90.00 90.00 90.00
Space group Pm-3m (No. 221)
One atom of each set of equivalent atoms:
Sr 0.000 0.000 0.000
V 0.500 0.500 0.500
Mo 0.000 0.000 0.500

## Properties
The size of the total moment comes out at 2.88 μB per formula unit. The density of states at the Fermi level comes out at 7.7 states/eV per cell.

=====

#two
SrVMo3: relaxed, PBE-GGA.

a b c (Å): 4.722 4.722 4.722
angles (deg): 90.00 90.00 90.00
Space group Pm-3m (No. 221)
One atom of each set of equivalent atoms:
Sr 0.000 0.000 0.000
V 0.500 0.500 0.500
Mo 0.000 0.500 0.500

## Properties
The size of the total moment comes out at 0.00 μB per formula unit. The density of states at the Fermi level comes out at 7.3 states/eV per cell.

=====

#two is the most stable structure; the next one sits 1895 meV/atom above it.

=====

#one
Sr2VMo: relaxed, PBE-GGA.

a b c (Å): 7.789 7.789 7.789
angles (deg): 90.00 90.00 90.00
Space group Fm-3m (No. 225)
One atom of each set of equivalent atoms:
Sr 0.250 0.250 0.250
V 0.000 0.000 0.000
Mo 0.000 0.000 0.500

## Properties
The size of the total moment comes out at 6.98 μB per formula unit. The density of states at the Fermi level comes out at 37.9 states/eV per cell.

=====

#two
Sr2VMo: relaxed, PBE-GGA.

a b c (Å): 8.683 8.683 6.159
angles (deg): 90.00 90.00 90.00
Space group I-42d (No. 122)
One atom of each set of equivalent atoms:
Sr 0.242 0.250 0.125
V 0.000 0.000 0.500
Mo 0.000 0.000 0.000

## Properties
The size of the total moment comes out at 5.63 μB per formula unit. The density of states at the Fermi level comes out at 25.8 states/eV per cell.

=====

#one is the most stable structure; the next one sits 260 meV/atom above it.